The following is a GGA-PBE calculation of crystalline Y4Si2N at its relaxed geometry, from the Alexandria database.

Total DFT energy (no corrections)   -0.270 Ha/atom
Raw formation energy   -905 meV/atom
Space group   C2/m, No. 12
Size of the total moment   0.4 Bohr magnetons per cell

Lattice parameters (Å, degrees): 6.235 6.235 8.134 124.33 124.33 36.03
Fractional coordinates of all 7 atoms:
Y: 0.082 0.082 0.350
Y: 0.341 0.341 0.922
Y: 0.659 0.659 0.078
Y: 0.918 0.918 0.650
Si: 0.388 0.388 0.335
Si: 0.612 0.612 0.665
N: 0.000 0.000 0.000